No. 1
PBE TlCo2Mo, relaxed; energy of formation from the pure elements = 0.579 eV per atom; raw total energy = -6.273 eV/atom; space group = I-4m2; ΔE to the lowest computed polymorph = 212 meV/atom
1.0
4.9376 0.0009 0.0000
2.0986 4.4694 0.0000
-3.5181 -2.2352 2.6470
Tl Mo Co
1 1 2
Cartesian
2.4688 0.0005 1.3235 Tl
3.5181 2.2352 0.0000 Mo
0.0000 0.0000 0.0000 Co
1.0493 2.2347 1.3235 Co


No. 2
PBE TlCoMo2, relaxed; energy of formation from the pure elements = 0.510 eV per atom; raw total energy = -7.274 eV/atom; space group = P2/m; ΔE to the lowest computed polymorph = 61 meV/atom
1.0
4.0821 0.0000 0.0000
0.0000 2.8254 0.0271
0.0000 2.3618 5.6801
Co Mo Tl
1 2 1
Cartesian
2.0410 3.8904 4.2804 Co
0.0000 5.0823 5.4814 Mo
0.0000 2.6986 3.0794 Mo
2.0410 1.2968 1.4268 Tl